First-principles (PBE) data for an optimized crystal structure of LaGe3Te, as listed in the Alexandria database.

The value obtained for the density of states at the Fermi level is 5.913 states/eV/f.u. The formation energy without anion corrections comes out at 0.918 eV/atom. As for the polymorph energy (0 for the lowest one): 0.5100 eV/atom.

abc: 5.645 5.645 5.645
angles: 90.00 90.00 90.00
Positions (direct):
Ge  0.000  0.500  0.000
Ge  0.000  0.000  0.500
Ge  0.500  0.000  0.000
Te  0.500  0.500  0.500
La  0.000  0.000  0.000